Sm3MgIn12 (GGA-PBE, optimized geometry); uncorrected energy = -3.3771 eV per atom; N(E_F) = 6.386 states/eV per cell; total magnetic moment = 0.00 μB per cell
1.0
4.682 0.000 0.000
0.000 4.682 0.000
0.000 0.000 18.621
Sm Mg In
3 1 12
Direct
0.000 0.000 0.000
0.000 0.000 0.252
0.000 0.000 0.748
0.000 0.000 0.500
0.000 0.500 0.127
0.000 0.500 0.381
0.000 0.500 0.619
0.000 0.500 0.873
0.500 0.000 0.127
0.500 0.000 0.381
0.500 0.000 0.619
0.500 0.000 0.873
0.500 0.500 0.000
0.500 0.500 0.249
0.500 0.500 0.500
0.500 0.500 0.751

---

Sm2Mg3In (GGA-PBE, optimized geometry); uncorrected energy = -3.0457 eV per atom; N(E_F) = 10.062 states/eV per cell; total magnetic moment = 0.00 μB per cell
1.0
0.000 5.159 8.908
3.479 0.000 8.908
3.479 5.159 0.000
Sm Mg In
4 6 2
Direct
0.250 0.250 0.250
0.250 0.750 0.750
0.750 0.250 0.250
0.750 0.750 0.750
0.167 0.167 0.833
0.169 0.665 0.335
0.335 0.831 0.169
0.665 0.169 0.831
0.831 0.335 0.665
0.833 0.833 0.167
0.334 0.334 0.666
0.666 0.666 0.334

---

SrSmMgIn (GGA-PBE, optimized geometry); uncorrected energy = -2.9488 eV per atom; offset from the most stable computed form = 0.0000 eV per atom; N(E_F) = 3.029 states/eV per cell; total magnetic moment = 0.00 μB per cell
1.0
3.957 0.000 0.000
0.000 3.957 0.000
0.000 0.000 8.056
Sr Sm Mg In
1 1 1 1
Direct
0.000 0.000 0.000
0.000 0.000 0.491
0.500 0.500 0.718
0.500 0.500 0.271

---

SrSmMg2In2 (GGA-PBE, optimized geometry); uncorrected energy = -2.8735 eV per atom; N(E_F) = 3.441 states/eV per cell; total magnetic moment = 0.00 μB per cell
1.0
5.058 0.000 0.000
-2.529 4.381 0.000
0.000 0.000 7.847
Sr Sm Mg In
1 1 2 2
Direct
0.000 0.000 0.000
0.000 0.000 0.500
0.333 0.667 0.709
0.667 0.333 0.291
0.333 0.667 0.285
0.667 0.333 0.715

---

SrSmMgIn (GGA-PBE, optimized geometry); uncorrected energy = -2.9382 eV per atom; offset from the most stable computed form = 0.0106 eV per atom; N(E_F) = 10.040 states/eV per cell; total magnetic moment = 0.00 μB per cell
1.0
7.911 0.000 0.000
0.000 7.911 0.000
0.000 0.000 7.911
Sr Sm Mg In
4 4 4 4
Direct
0.000 0.000 0.000
0.000 0.500 0.500
0.500 0.000 0.500
0.500 0.500 0.000
0.000 0.000 0.500
0.000 0.500 0.000
0.500 0.000 0.000
0.500 0.500 0.500
0.250 0.250 0.250
0.250 0.750 0.750
0.750 0.250 0.750
0.750 0.750 0.250
0.250 0.250 0.750
0.250 0.750 0.250
0.750 0.250 0.250
0.750 0.750 0.750

---

SmMgIn2Te4 (GGA-PBE, optimized geometry); formation energy (no corrections) = -69.3 kJ per mole of atoms; uncorrected energy = -3.7629 eV per atom; N(E_F) = 3.410 states/eV per cell; total magnetic moment = 0.00 μB per cell
1.0
7.643 0.000 0.000
0.000 4.408 0.000
-2.570 0.000 7.637
Sm Mg In Te
1 1 2 4
Direct
0.000 0.000 0.000
0.500 0.500 0.000
0.000 0.500 0.500
0.500 0.000 0.500
0.250 0.500 0.234
0.270 0.000 0.776
0.730 0.000 0.224
0.750 0.500 0.766